# 1
Here is Si3SbPt after structural relaxation from the Alexandria database. Energies are from PBE-GGA.

a = 4.7508 Å, b = 4.7508 Å, c = 4.7508 Å
α = 90.00°, β = 90.00°, γ = 90.00°
Last column: nearest neighbours and their distance in Å.
Space group Pm-3m (No. 221)
Unique sites:
1 Si 0.0000 0.0000 0.5000 [3 per cell]  2 Pt 2.38
2 Sb 0.5000 0.5000 0.5000 [1 per cell]  12 Si 3.36
3 Pt 0.0000 0.0000 0.0000 [1 per cell]  6 Si 2.38

Computed properties:
N(E_F) = 2.357 states/eV/cell
total DFT energy (no corrections) = -4.893 eV/atom
raw formation energy = 0.393 eV per atom
energy relative to the lowest polymorph listed for this composition = 0 meV per atom
crystal system = cubic
magnetic moment = 0.0 Bohr magnetons per cell


# 2
Here is Si2SbPt after structural relaxation from the Alexandria database. Energies are from PBE-GGA.

a = 3.2441 Å, b = 3.2441 Å, c = 6.8700 Å
α = 90.00°, β = 90.00°, γ = 90.00°
Last column: nearest neighbours and their distance in Å.
Space group P4/mmm (No. 123)
Unique sites:
1 Si 0.0000 0.0000 0.1963 [2 per cell]  4 Pt 2.66, 1 Si 2.70
2 Sb 0.5000 0.5000 0.5000 [1 per cell]  8 Si 3.10, 4 Sb 3.24, 2 Pt 3.44
3 Pt 0.5000 0.5000 0.0000 [1 per cell]  8 Si 2.66

Computed properties:
N(E_F) = 1.692 states/eV/cell
total DFT energy (no corrections) = -5.161 eV/atom
raw formation energy = 0.091 eV per atom
crystal system = tetragonal
magnetic moment = 0.0 Bohr magnetons per cell